## a
ZrTl2Se | PBE-GGA | optimized geometry

- Calculated density: 9.32 Mg/m³

Cell: 12.396 3.471 5.303 Å, 90.00 115.30 90.00°
Sites, in units of the cell vectors:
1 Zr 0.000 0.000 0.000
2 Zr 0.500 0.500 0.000
3 Tl 0.050 0.500 0.549
4 Tl 0.264 0.500 0.263
5 Tl 0.550 0.000 0.549
6 Tl 0.764 0.000 0.263
7 Se 0.323 0.000 0.822
8 Se 0.823 0.500 0.822

---

## b
ZrTl2Se | PBE-GGA | optimized geometry

- Calculated density: 9.64 Mg/m³

Cell: 5.939 11.108 3.679 Å, 90.00 124.74 90.00°
Sites, in units of the cell vectors:
1 Zr 0.000 0.000 0.000
2 Zr 0.500 0.500 0.000
3 Tl 0.250 0.250 0.500
4 Tl 0.250 0.750 0.500
5 Tl 0.750 0.250 0.500
6 Tl 0.750 0.750 0.500
7 Se 0.000 0.500 0.000
8 Se 0.500 0.000 0.000

---

## c
ZrTl2Se | PBE-GGA | optimized geometry

- Calculated density: 9.44 Mg/m³

Cell: 3.666 5.983 9.286 Å, 90.00 90.00 90.00°
Sites, in units of the cell vectors:
1 Zr 0.000 0.000 0.000
2 Zr 0.500 0.500 0.000
3 Tl 0.000 0.500 0.262
4 Tl 0.000 0.500 0.738
5 Tl 0.500 0.000 0.262
6 Tl 0.500 0.000 0.738
7 Se 0.000 0.000 0.500
8 Se 0.500 0.500 0.500

---

## d
ZrTl2Se | PBE-GGA | optimized geometry

- Calculated density: 8.93 Mg/m³

Cell: 3.603 3.603 28.715 Å, 90.00 90.00 120.00°
Sites, in units of the cell vectors:
1 Zr 0.000 0.000 0.000
2 Zr 0.333 0.667 0.667
3 Zr 0.667 0.333 0.333
4 Tl 0.000 0.000 0.510
5 Tl 0.000 0.000 0.749
6 Tl 0.333 0.667 0.177
7 Tl 0.333 0.667 0.415
8 Tl 0.667 0.333 0.082
9 Tl 0.667 0.333 0.843
10 Se 0.000 0.000 0.275
11 Se 0.333 0.667 0.942
12 Se 0.667 0.333 0.609

---

Stability summary: most stable d, least stable c.

---

## a
ZrTl2Se | PBE-GGA | optimized geometry

- Calculated density: 9.87 Mg/m³

Cell: 7.304 7.304 7.304 Å, 90.00 90.00 90.00°
Sites, in units of the cell vectors:
1 Zr 0.000 0.000 0.000
2 Zr 0.000 0.500 0.500
3 Zr 0.500 0.000 0.500
4 Zr 0.500 0.500 0.000
5 Tl 0.000 0.000 0.500
6 Tl 0.000 0.500 0.000
7 Tl 0.250 0.250 0.750
8 Tl 0.250 0.750 0.250
9 Tl 0.500 0.000 0.000
10 Tl 0.500 0.500 0.500
11 Tl 0.750 0.250 0.250
12 Tl 0.750 0.750 0.750
13 Se 0.250 0.250 0.250
14 Se 0.250 0.750 0.750
15 Se 0.750 0.250 0.750
16 Se 0.750 0.750 0.250

---

## b
ZrTl2Se | PBE-GGA | optimized geometry

- Calculated density: 9.33 Mg/m³

Cell: 3.499 3.499 8.413 Å, 90.00 90.00 90.00°
Sites, in units of the cell vectors:
1 Zr 0.000 0.000 0.000
2 Tl 0.000 0.000 0.451
3 Tl 0.500 0.500 0.741
4 Se 0.500 0.500 0.143

---

Stability summary: most stable b, least stable a.

---

## a
ZrTl2Se3 | PBE-GGA | optimized geometry

- Calculated density: 7.07 Mg/m³

Cell: 7.211 7.211 7.978 Å, 98.46 98.46 119.30°
Sites, in units of the cell vectors:
1 Zr 0.168 0.832 0.000
2 Zr 0.832 0.168 0.000
3 Tl 0.000 0.000 0.500
4 Tl 0.349 0.651 0.500
5 Tl 0.500 0.500 0.000
6 Tl 0.651 0.349 0.500
7 Se 0.046 0.429 0.790
8 Se 0.186 0.186 0.195
9 Se 0.429 0.046 0.790
10 Se 0.571 0.954 0.210
11 Se 0.814 0.814 0.805
12 Se 0.954 0.571 0.210

---

## b
ZrTl2Se3 | PBE-GGA | optimized geometry

- Calculated density: 5.80 Mg/m³

Cell: 7.937 7.937 7.360 Å, 98.41 98.41 67.52°
Sites, in units of the cell vectors:
1 Zr 0.074 0.926 0.750
2 Zr 0.926 0.074 0.250
3 Tl 0.223 0.465 0.373
4 Tl 0.465 0.223 0.873
5 Tl 0.535 0.777 0.127
6 Tl 0.777 0.535 0.627
7 Se 0.122 0.159 0.553
8 Se 0.159 0.122 0.053
9 Se 0.360 0.640 0.750
10 Se 0.640 0.360 0.250
11 Se 0.841 0.878 0.947
12 Se 0.878 0.841 0.447

---

Stability summary: most stable a, least stable b.